[1]
An optimized crystal structure of TbYInPb, computed with GGA-PBE.

Lattice parameters (Å, degrees): 4.9929 4.9929 5.6620 116.16 116.16 90.00
Closest atoms and distances in Å follow each position.
Atoms (fractional coordinates):
Y1 0.0000 0.0000 0.0000  4 Pb 3.34, 4 In 3.34, 4 Tb 3.53
Pb1 0.7500 0.2500 0.5000  4 Y 3.34, 4 Tb 3.34, 4 In 3.53
Tb1 0.5000 0.5000 0.0000  4 In 3.34, 4 Pb 3.34, 4 Y 3.53
In1 0.2500 0.7500 0.5000  4 Y 3.34, 4 Tb 3.34, 4 Pb 3.53

ΔE to the lowest computed polymorph   0.000 eV per atom
ΔH_f (0 K)   -1.864 eV per formula unit

[2]
An optimized crystal structure of PmAl3Si3, computed with GGA-PBE.

Lattice parameters (Å, degrees): 6.8794 6.8794 6.8794 90.00 90.00 90.00
Closest atoms and distances in Å follow each position.
Atoms (fractional coordinates):
Al1 0.0000 0.7500 0.5000  4 Si 2.43
Si1 0.0000 0.5000 0.2500  4 Al 2.43
Si2 0.5000 0.2500 0.0000  4 Al 2.43
Al2 0.2500 0.5000 0.0000  4 Si 2.43
Si3 0.7500 0.0000 0.5000  4 Al 2.43
Al3 0.5000 0.0000 0.7500  4 Si 2.43
Al4 0.5000 0.0000 0.2500  4 Si 2.43
Al5 0.0000 0.2500 0.5000  4 Si 2.43
Pm1 0.5000 0.5000 0.5000  12 Al 3.85, 12 Si 3.85
Si4 0.5000 0.7500 0.0000  4 Al 2.43
Pm2 0.0000 0.0000 0.0000  12 Al 3.85, 12 Si 3.85
Si5 0.2500 0.0000 0.5000  4 Al 2.43
Si6 0.0000 0.5000 0.7500  4 Al 2.43
Al6 0.7500 0.5000 0.0000  4 Si 2.43

ΔE_f (raw)   18 kJ per mole of atoms

[3]
An optimized crystal structure of TaBeOs2, computed with GGA-PBE.

Lattice parameters (Å, degrees): 6.8310 6.8310 5.4263 50.99 50.99 90.00
Closest atoms and distances in Å follow each position.
Atoms (fractional coordinates):
Ta1 0.7500 0.2500 0.5000  2 Be 2.47
Os1 0.2025 0.6250 0.2500  2 Be 2.16
Os2 0.3750 0.4525 0.7500  2 Be 2.16
Ta2 0.0000 0.0000 0.0000  2 Be 2.47
Os3 0.8750 0.7975 0.7500  2 Be 2.16
Os4 0.5475 0.1250 0.2500  2 Be 2.16
Be1 0.5000 0.5000 0.0000  4 Os 2.16
Be2 0.2500 0.7500 0.5000  4 Os 2.16

ΔH_f (0 K)   1.376 eV per formula unit

[4]
An optimized crystal structure of Na8B11C5, computed with GGA-PBE.

Lattice parameters (Å, degrees): 4.9989 5.7825 8.5549 90.00 90.00 90.00
Closest atoms and distances in Å follow each position.
Atoms (fractional coordinates):
B1 0.1613 0.7499 0.7500  3 B 1.69-1.73
C1 0.3334 0.5000 0.2500  3 B 1.67
Na1 0.5003 0.2503 0.4965  4 C 2.69-2.73, 8 B 2.69-2.76, 6 Na 2.88-2.89
C2 0.3333 0.0000 0.2500  3 B 1.67
B2 0.3371 0.5000 0.7500  3 B 1.69-1.72
B3 0.1668 0.2502 0.2500  3 C 1.67
Na2 0.9990 0.0000 0.4971  8 B 2.69-2.79, 4 C 2.69-2.73, 6 Na 2.88-2.89
B4 0.1613 0.2501 0.7500  3 B 1.69-1.73
Na3 0.5003 0.2503 0.0035  4 C 2.69-2.73, 8 B 2.69-2.76, 6 Na 2.88-2.89
C3 0.8334 0.2501 0.2500  3 B 1.67
B5 0.1668 0.7498 0.2500  3 C 1.67
B6 0.8198 0.7641 0.7500  1 C 1.57, 2 B 1.68-1.71
B7 0.6669 0.5000 0.2500  3 C 1.67
B8 0.6668 0.0000 0.2500  3 C 1.67
Na4 0.0014 0.5000 0.0031  3 C 2.69, 9 B 2.69-2.80, 6 Na 2.88-2.89
B9 0.6812 0.5000 0.7500  3 B 1.68-1.72
B10 0.8198 0.2359 0.7500  1 C 1.57, 2 B 1.68-1.71
Na5 0.9990 0.0000 0.0029  8 B 2.69-2.79, 4 C 2.69-2.73, 6 Na 2.88-2.89
B11 0.3515 0.0000 0.7500  1 C 1.57, 2 B 1.73
Na6 0.0014 0.5000 0.4969  3 C 2.69, 9 B 2.69-2.80, 6 Na 2.88-2.89
Na7 0.5003 0.7497 0.4965  4 C 2.69-2.73, 8 B 2.69-2.76, 6 Na 2.88-2.89
Na8 0.5003 0.7497 0.0035  4 C 2.69-2.73, 8 B 2.69-2.76, 6 Na 2.88-2.89
C4 0.8334 0.7499 0.2500  3 B 1.67
C5 0.6649 0.0000 0.7500  3 B 1.57

ΔE to the lowest computed polymorph   0.036 eV per atom
ΔH_f (0 K)   3.304 eV per formula unit

[5]
An optimized crystal structure of K2AcPmO4, computed with GGA-PBE.

Lattice parameters (Å, degrees): 3.7341 6.4868 6.6886 108.87 90.00 90.00
Closest atoms and distances in Å follow each position.
Atoms (fractional coordinates):
K1 0.0000 0.5000 0.5000  6 O 2.87
O1 0.5000 0.7554 0.8067  1 Pm 2.41, 2 Ac 2.52
O2 0.5000 0.2446 0.1933  1 Pm 2.41, 2 Ac 2.52
K2 0.5000 0.0000 0.5000  6 O 2.94-2.97
O3 0.0000 0.2800 0.8092  2 Pm 2.44, 1 Ac 2.54
Pm1 0.5000 0.5000 0.0000  6 O 2.41-2.44
Ac1 0.0000 0.0000 0.0000  6 O 2.52-2.54
O4 0.0000 0.7200 0.1908  2 Pm 2.44, 1 Ac 2.54

ΔE_f (raw)   -250 kJ per mole of atoms

[6]
An optimized crystal structure of Rb2CuSnCl6, computed with GGA-PBE.

Lattice parameters (Å, degrees): 7.2794 7.2796 10.4724 90.00 90.00 90.00
Closest atoms and distances in Å follow each position.
Atoms (fractional coordinates):
Sn1 0.5000 0.2492 0.5000  6 Cl 2.69
Cl1 0.7610 0.5105 0.5000  1 Cu 2.45, 1 Sn 2.69
Cl2 0.2389 0.9886 0.5000  1 Cu 2.47, 1 Sn 2.69
Rb1 0.5000 0.7498 0.7499  12 Cl 3.64-3.68
Rb2 0.0000 0.2502 0.2499  12 Cl 3.64-3.68
Cl3 0.5000 0.2501 0.2434  1 Cu 2.55, 1 Sn 2.69
Cl4 0.7390 0.4895 0.0000  1 Cu 2.45, 1 Sn 2.69
Cl5 0.2611 0.0114 0.0000  1 Cu 2.47, 1 Sn 2.69
Rb3 0.0000 0.2502 0.7501  12 Cl 3.64-3.68
Cu1 0.5000 0.2516 0.0000  6 Cl 2.45-2.55
Cl6 0.5000 0.2501 0.7566  1 Cu 2.55, 1 Sn 2.69
Cl7 0.0000 0.7499 0.2566  1 Cu 2.55, 1 Sn 2.69
Cu2 0.0000 0.7484 0.5000  6 Cl 2.45-2.55
Cl8 0.7389 0.0114 0.0000  1 Cu 2.47, 1 Sn 2.69
Cl9 0.2390 0.5105 0.5000  1 Cu 2.45, 1 Sn 2.69
Rb4 0.5000 0.7498 0.2501  12 Cl 3.64-3.68
Cl10 0.2610 0.4895 0.0000  1 Cu 2.45, 1 Sn 2.69
Cl11 0.7611 0.9886 0.5000  1 Cu 2.47, 1 Sn 2.69
Sn2 0.0000 0.7508 0.0000  6 Cl 2.69
Cl12 0.0000 0.7499 0.7434  1 Cu 2.55, 1 Sn 2.69

ΔE_f (raw)   -124 kJ per mole of atoms